# 1
Below is a PBEsol-optimized structure of Li5Ni9As7, with properties calculated at the SCAN level.

Unit cell a=9.2514 b=9.2514 c=3.7473 alpha=90.00 beta=90.00 gamma=120.00
Space group P-6 (No. 174)
One atom of each set of equivalent atoms:
Li  0.0000  0.0000  0.0000 x1
Li  0.2199  0.7686  0.0000 x3
Li  0.6667  0.3333  0.5000 x1
Ni  0.0422  0.4949  0.5000 x3
Ni  0.2878  0.2396  0.5000 x3
Ni  0.3733  0.0984  0.0000 x3
As  0.0389  0.2428  0.5000 x3
As  0.3333  0.6667  0.5000 x1
As  0.4639  0.3794  0.0000 x3

Properties
As for the total DFT energy (no corrections): -14.749 eV per atom. The calculated formation energy is -1049 kJ/mol of formula units. The calculation puts the density of states at the Fermi level at 7.2 states/eV/cell.

---

# 2
Below is a PBEsol-optimized structure of LiNiAs, with properties calculated at the SCAN level.

Unit cell a=4.0015 b=4.0015 c=2.8252 alpha=90.00 beta=90.00 gamma=120.00
Space group P-6m2 (No. 187)
One atom of each set of equivalent atoms:
Li  0.0000  0.0000  0.0000 x1
Ni  0.6667  0.3333  0.5000 x1
As  0.3333  0.6667  0.5000 x1

Properties
As for the total DFT energy (no corrections): -13.333 eV per atom. The calculated formation energy is -120 kJ/mol of formula units. The calculation puts the density of states at the Fermi level at 1.4 states/eV/cell.

---

# 3
Below is a PBEsol-optimized structure of LiNiAsO4, with properties calculated at the SCAN level.

Unit cell a=5.682 b=5.823 c=8.093 alpha=90.00 beta=90.00 gamma=90.00
Space group Imma (No. 74)
One atom of each set of equivalent atoms:
Li  0.250  0.250  0.250 x4
Ni  0.000  0.000  0.000 x4
As  0.000  0.250  0.633 x4
O  0.000  0.005  0.751 x8
O  0.248  0.250  0.504 x8

Properties
As for the total DFT energy (no corrections): -10.760 eV per atom. As for the energy above the most stable polymorph in this dataset: 0 meV per atom. The calculation puts the density of states at the Fermi level at 0.0 states/eV/cell. The value obtained for the formation energy from raw total energies is -1663 meV/atom.

---

> The lowest total DFT energy (no corrections) belongs to which entry?

Li5Ni9As7

---

Repeat the first record exactly.
Below is a PBEsol-optimized structure of Li5Ni9As7, with properties calculated at the SCAN level.

Unit cell a=9.2514 b=9.2514 c=3.7473 alpha=90.00 beta=90.00 gamma=120.00
Space group P-6 (No. 174)
One atom of each set of equivalent atoms:
Li  0.0000  0.0000  0.0000 x1
Li  0.2199  0.7686  0.0000 x3
Li  0.6667  0.3333  0.5000 x1
Ni  0.0422  0.4949  0.5000 x3
Ni  0.2878  0.2396  0.5000 x3
Ni  0.3733  0.0984  0.0000 x3
As  0.0389  0.2428  0.5000 x3
As  0.3333  0.6667  0.5000 x1
As  0.4639  0.3794  0.0000 x3

Properties
As for the total DFT energy (no corrections): -14.749 eV per atom. The calculated formation energy is -1049 kJ/mol of formula units. The calculation puts the density of states at the Fermi level at 7.2 states/eV/cell.

---

> Among the records above, which one has the highest total DFT energy (no corrections)?

LiNiAsO4

---

> Which of these has the lowest total DFT energy (no corrections)?

Li5Ni9As7